{"formula": "Fe6Pd5Rh", "functional": "PBE", "state": "relaxed", "cell": [[-3.511, 0.302, -1.571], [2.964, -0.809, -6.778], [-0.394, -5.466, 4.565]], "species": ["Pd", "Pd", "Fe", "Pd", "Pd", "Rh", "Fe", "Pd", "Fe", "Fe", "Fe", "Fe"], "fractional_positions": [[0.669, 0.169, 0.338], [0.000, 0.500, 0.000], [0.835, 0.082, 0.670], [0.335, 0.335, 0.669], [0.331, 0.831, 0.662], [0.000, 0.000, 0.000], [0.165, 0.918, 0.330], [0.665, 0.665, 0.331], [0.165, 0.413, 0.330], [0.835, 0.587, 0.670], [0.500, 0.245, 0.000], [0.500, 0.755, 0.000]], "formation_energy_ev_per_fu": -0.581}